(1)
Computed, not measured: a geometry-optimized AcLuIn2 structure at the PBE level of DFT.

The calculation puts the total energy at -3.8503 eV/atom. The density of states at the Fermi level comes out at 4.0 states/eV per cell.

The space group is P4/mmm (No. 123) and the conventional cell measures 5.169, 5.169 and 4.555 Å, with angles of 90.00, 90.00 and 90.00 degrees. The asymmetric unit holds Ac at (0.000, 0.000, 0.000), Lu at (0.500, 0.500, 0.000) and In at (0.000, 0.500, 0.500).

---

(2)
Computed, not measured: a geometry-optimized AcLu2In structure at the PBE level of DFT.

The calculation puts the total energy at -4.1563 eV/atom. The density of states at the Fermi level comes out at 3.1 states/eV per cell. The value obtained for the relative energy among the computed polymorphs is 0.00 kJ per mole of atoms.

The space group is P4/mmm (No. 123) and the conventional cell measures 3.664, 3.664 and 9.238 Å, with angles of 90.00, 90.00 and 90.00 degrees. The asymmetric unit holds Ac at (0.000, 0.000, 0.000), Lu at (0.500, 0.500, 0.290) and In at (0.000, 0.000, 0.500).

---

What are the energy relative to the elements values for these records? In order: -0.32 -0.18 eV/atom.